#i
YTa2Ru: optimized geometry, GGA-PBE.

Calculated values
**Crystal system**: tetragonal
**DOS at the Fermi energy**: 4.512 states/eV/f.u.
**Space-group type**: P4/mmm
**Magnetization**: 0.00 μB per formula unit

Unit cell a=3.9417 b=3.9417 c=4.9870 alpha=90.00 beta=90.00 gamma=90.00
With the nearest neighbours (Å) after each atom.
Element x y z (fractional)
Y 0.0000 0.0000 0.0000  4 Ru 2.79
Ta 0.0000 0.5000 0.5000  4 Ta 2.79
Ta 0.5000 0.0000 0.5000  4 Ta 2.79
Ru 0.5000 0.5000 0.0000  4 Y 2.79

#ii
YTa2Ru: optimized geometry, GGA-PBE.

Calculated values
**Crystal system**: orthorhombic
**DOS at the Fermi energy**: 3.842 states/eV/f.u.
**Space-group type**: Cmmm
**Magnetization**: 0.00 μB per formula unit

Unit cell a=5.5135 b=5.5135 c=2.9433 alpha=90.00 beta=90.00 gamma=121.11
With the nearest neighbours (Å) after each atom.
Element x y z (fractional)
Y 0.0000 0.0000 0.0000  2 Ru 2.71, 2 Y 2.94
Ta 0.0000 0.5000 0.5000  4 Ta 2.71-2.94
Ta 0.5000 0.0000 0.5000  4 Ta 2.71-2.94
Ru 0.5000 0.5000 0.0000  2 Y 2.71, 2 Ru 2.94

Pick #i: it beats the second-best structure by 117 meV per atom.

#i
YTa3Ru: optimized geometry, GGA-PBE.

Calculated values
**Crystal system**: cubic
**DOS at the Fermi energy**: 9.984 states/eV/f.u.
**Space-group type**: Pm-3m
**Magnetization**: 0.00 μB per formula unit

Unit cell a=4.8089 b=4.8089 c=4.8089 alpha=90.00 beta=90.00 gamma=90.00
With the nearest neighbours (Å) after each atom.
Element x y z (fractional)
Y 0.0000 0.0000 0.0000  6 Ta 2.40
Ta 0.0000 0.0000 0.5000  2 Y 2.40
Ta 0.0000 0.5000 0.0000  2 Y 2.40
Ta 0.5000 0.0000 0.0000  2 Y 2.40
Ru 0.5000 0.5000 0.5000  12 Ta 3.40

#ii
YTa3Ru: optimized geometry, GGA-PBE.

Calculated values
**Crystal system**: cubic
**DOS at the Fermi energy**: 4.605 states/eV/f.u.
**Space-group type**: Pm-3m
**Magnetization**: 0.00 μB per formula unit

Unit cell a=4.8717 b=4.8717 c=4.8717 alpha=90.00 beta=90.00 gamma=90.00
With the nearest neighbours (Å) after each atom.
Element x y z (fractional)
Y 0.0000 0.0000 0.0000  12 Ta 3.44
Ta 0.0000 0.5000 0.5000  2 Ru 2.44
Ta 0.5000 0.0000 0.5000  2 Ru 2.44
Ta 0.5000 0.5000 0.0000  2 Ru 2.44
Ru 0.5000 0.5000 0.5000  6 Ta 2.44

Pick #ii: it beats the second-best structure by 1918 meV per atom.

#i
Ta2Zn2Ru: optimized geometry, GGA-PBE.

Calculated values
**Crystal system**: tetragonal
**DOS at the Fermi energy**: 3.104 states/eV/f.u.
**Space-group type**: I4/mmm
**Magnetization**: 0.73 μB per formula unit

Unit cell a=6.4972 b=6.4972 c=6.4972 alpha=146.02 beta=146.02 gamma=48.81
With the nearest neighbours (Å) after each atom.
Element x y z (fractional)
Ta 0.2500 0.7500 0.5000  4 Zn 2.66, 4 Ta 2.68
Ta 0.7500 0.2500 0.5000  4 Zn 2.66, 4 Ta 2.68
Zn 0.0926 0.0926 0.0000  1 Zn 2.19
Zn 0.9074 0.9074 0.0000  1 Zn 2.19
Ru 0.5000 0.5000 0.0000  8 Zn 2.90

#ii
Ta2Zn2Ru: optimized geometry, GGA-PBE.

Calculated values
**Crystal system**: tetragonal
**DOS at the Fermi energy**: 0.902 states/eV/f.u.
**Space-group type**: P4/mbm
**Magnetization**: 0.00 μB per formula unit

Unit cell a=6.6525 b=6.6525 c=3.5084 alpha=90.00 beta=90.00 gamma=90.00
With the nearest neighbours (Å) after each atom.
Element x y z (fractional)
Ta 0.1726 0.3274 0.0000  6 Zn 2.57-2.68
Ta 0.3274 0.8274 0.0000  6 Zn 2.57-2.68
Ta 0.6726 0.1726 0.0000  6 Zn 2.57-2.68
Ta 0.8274 0.6726 0.0000  6 Zn 2.57-2.68
Zn 0.1284 0.6284 0.5000  1 Zn 2.42, 6 Ta 2.57-2.68, 2 Ru 2.62
Zn 0.3716 0.1284 0.5000  1 Zn 2.42, 6 Ta 2.57-2.68, 2 Ru 2.62
Zn 0.6284 0.8716 0.5000  1 Zn 2.42, 6 Ta 2.57-2.68, 2 Ru 2.62
Zn 0.8716 0.3716 0.5000  1 Zn 2.42, 6 Ta 2.57-2.68, 2 Ru 2.62
Ru 0.0000 0.0000 0.5000  4 Zn 2.62
Ru 0.5000 0.5000 0.5000  4 Zn 2.62

Pick #ii: it beats the second-best structure by 513 meV per atom.

#i
TaZn2Ru2: optimized geometry, GGA-PBE.

Calculated values
**Crystal system**: tetragonal
**DOS at the Fermi energy**: 4.660 states/eV/f.u.
**Space-group type**: P4/mbm
**Magnetization**: 0.00 μB per formula unit

Unit cell a=6.9342 b=6.9342 c=3.1650 alpha=90.00 beta=90.00 gamma=90.00
With the nearest neighbours (Å) after each atom.
Element x y z (fractional)
Ta 0.0000 0.0000 0.0000  4 Ru 2.65
Ta 0.5000 0.5000 0.0000  4 Ru 2.65
Zn 0.1512 0.3488 0.5000  6 Ru 2.54-2.60
Zn 0.3488 0.8488 0.5000  6 Ru 2.54-2.60
Zn 0.6512 0.1512 0.5000  6 Ru 2.54-2.60
Zn 0.8488 0.6512 0.5000  6 Ru 2.54-2.60
Ru 0.1468 0.6468 0.0000  6 Zn 2.54-2.60, 2 Ta 2.65
Ru 0.3532 0.1468 0.0000  6 Zn 2.54-2.60, 2 Ta 2.65
Ru 0.6468 0.8532 0.0000  6 Zn 2.54-2.60, 2 Ta 2.65
Ru 0.8532 0.3532 0.0000  6 Zn 2.54-2.60, 2 Ta 2.65

#ii
TaZn2Ru2: optimized geometry, GGA-PBE.

Calculated values
**Crystal system**: tetragonal
**DOS at the Fermi energy**: 2.259 states/eV/f.u.
**Space-group type**: P4/mbm
**Magnetization**: 0.00 μB per formula unit

Unit cell a=6.9655 b=6.9655 c=3.0268 alpha=90.00 beta=90.00 gamma=90.00
With the nearest neighbours (Å) after each atom.
Element x y z (fractional)
Ta 0.0000 0.0000 0.0000  4 Zn 2.77, 8 Ru 2.98, 2 Ta 3.03
Ta 0.5000 0.5000 0.0000  4 Zn 2.77, 8 Ru 2.98, 2 Ta 3.03
Zn 0.1213 0.3787 0.0000  1 Zn 2.39, 6 Ru 2.49-2.61
Zn 0.3787 0.8787 0.0000  1 Zn 2.39, 6 Ru 2.49-2.61
Zn 0.6213 0.1213 0.0000  1 Zn 2.39, 6 Ru 2.49-2.61
Zn 0.8787 0.6213 0.0000  1 Zn 2.39, 6 Ru 2.49-2.61
Ru 0.1783 0.6783 0.5000  6 Zn 2.49-2.61
Ru 0.3217 0.1783 0.5000  6 Zn 2.49-2.61
Ru 0.6783 0.8217 0.5000  6 Zn 2.49-2.61
Ru 0.8217 0.3217 0.5000  6 Zn 2.49-2.61

Pick #ii: it beats the second-best structure by 87 meV per atom.

#i
ZrTaRu: optimized geometry, GGA-PBE.

Calculated values
**Crystal system**: monoclinic
**DOS at the Fermi energy**: 1.417 states/eV/f.u.
**Space-group type**: C2/m
**Magnetization**: 0.00 μB per formula unit

Unit cell a=5.5352 b=5.5352 c=5.5794 alpha=120.21 beta=120.21 gamma=49.33
With the nearest neighbours (Å) after each atom.
Element x y z (fractional)
Zr 0.1703 0.1703 0.2550  4 Ru 2.77-2.81, 3 Ta 2.96-3.08, 1 Zr 3.01
Zr 0.8297 0.8297 0.7450  4 Ru 2.77-2.81, 3 Ta 2.96-3.08, 1 Zr 3.01
Ta 0.4789 0.4789 0.2267  3 Ru 2.73-2.80, 2 Ta 2.79-2.84, 2 Zr 2.96
Ta 0.5211 0.5211 0.7733  3 Ru 2.73-2.80, 2 Ta 2.79-2.84, 2 Zr 2.96
Ru 0.1725 0.1725 0.7534  3 Ta 2.73-2.80, 4 Zr 2.77-2.81, 1 Ru 3.03
Ru 0.8275 0.8275 0.2466  3 Ta 2.73-2.80, 4 Zr 2.77-2.81, 1 Ru 3.03

#ii
ZrTaRu: optimized geometry, GGA-PBE.

Calculated values
**Crystal system**: orthorhombic
**DOS at the Fermi energy**: 1.164 states/eV/f.u.
**Space-group type**: Cmcm
**Magnetization**: 0.00 μB per formula unit

Unit cell a=5.6092 b=5.6092 c=4.5594 alpha=90.00 beta=90.00 gamma=131.72
With the nearest neighbours (Å) after each atom.
Element x y z (fractional)
Zr 0.0937 0.9063 0.7500  4 Ru 2.78-2.80, 2 Ta 2.97, 2 Zr 2.98
Zr 0.9063 0.0937 0.2500  4 Ru 2.78-2.80, 2 Ta 2.97, 2 Zr 2.98
Ta 0.4096 0.5904 0.7500  4 Ru 2.81, 2 Ta 2.94, 2 Zr 2.97
Ta 0.5904 0.4096 0.2500  4 Ru 2.81, 2 Ta 2.94, 2 Zr 2.97
Ru 0.2487 0.7513 0.2500  4 Zr 2.78-2.80, 4 Ta 2.81
Ru 0.7513 0.2487 0.7500  4 Zr 2.78-2.80, 4 Ta 2.81

#iii
ZrTaRu: optimized geometry, GGA-PBE.

Calculated values
**Crystal system**: cubic
**DOS at the Fermi energy**: 3.657 states/eV/f.u.
**Space-group type**: F-43m
**Magnetization**: 0.00 μB per formula unit

Unit cell a=4.4467 b=4.4467 c=4.4467 alpha=60.00 beta=60.00 gamma=60.00
With the nearest neighbours (Å) after each atom.
Element x y z (fractional)
Zr 0.0000 0.0000 0.0000  4 Ru 2.72
Ta 0.5000 0.5000 0.5000  4 Ru 2.72
Ru 0.2500 0.2500 0.2500  4 Zr 2.72, 4 Ta 2.72

#iv
ZrTaRu: optimized geometry, GGA-PBE.

Calculated values
**Crystal system**: trigonal
**DOS at the Fermi energy**: 2.244 states/eV/f.u.
**Space-group type**: P3m1
**Magnetization**: 0.00 μB per formula unit

Unit cell a=4.6499 b=4.6499 c=5.6366 alpha=90.00 beta=90.00 gamma=120.00
With the nearest neighbours (Å) after each atom.
Element x y z (fractional)
Zr 0.0000 0.0000 0.0000  5 Ta 2.77-2.89, 3 Zr 2.86
Zr 0.3333 0.6667 0.8256  5 Ru 2.77-2.87, 3 Zr 2.86
Ta 0.0000 0.0000 0.4908  2 Zr 2.77-2.87, 6 Ru 2.83-2.85
Ta 0.6667 0.3333 0.1875  5 Ru 2.68-2.96, 3 Zr 2.89
Ru 0.3333 0.6667 0.3346  2 Zr 2.77-2.87, 6 Ta 2.81-2.83
Ru 0.6667 0.3333 0.6625  5 Ta 2.68-2.96, 3 Zr 2.84

Pick #ii: it beats the second-best structure by 102 meV per atom.

#i
ZrTaRu: optimized geometry, GGA-PBE.

Calculated values
**Crystal system**: trigonal
**DOS at the Fermi energy**: 2.033 states/eV/f.u.
**Space-group type**: P-3m1
**Magnetization**: 0.00 μB per formula unit

Unit cell a=4.6794 b=4.6794 c=5.6058 alpha=90.00 beta=90.00 gamma=120.00
With the nearest neighbours (Å) after each atom.
Element x y z (fractional)
Zr 0.3333 0.6667 0.3238  5 Ru 2.74-2.87, 3 Ta 2.88
Zr 0.6667 0.3333 0.6762  5 Ru 2.74-2.87, 3 Ta 2.88
Ta 0.0000 0.0000 0.0000  2 Ta 2.80, 6 Ru 2.86
Ta 0.0000 0.0000 0.5000  2 Ta 2.80, 6 Zr 2.88
Ru 0.3333 0.6667 0.8352  5 Zr 2.74-2.87, 3 Ta 2.86
Ru 0.6667 0.3333 0.1648  5 Zr 2.74-2.87, 3 Ta 2.86

#ii
ZrTaRu: optimized geometry, GGA-PBE.

Calculated values
**Crystal system**: orthorhombic
**DOS at the Fermi energy**: 1.111 states/eV/f.u.
**Space-group type**: Cmcm
**Magnetization**: 0.00 μB per formula unit

Unit cell a=7.3106 b=7.3106 c=4.6104 alpha=90.00 beta=90.00 gamma=154.25
With the nearest neighbours (Å) after each atom.
Element x y z (fractional)
Zr 0.0810 0.9190 0.7500  6 Ru 2.82-2.89, 2 Ta 3.00
Zr 0.9190 0.0810 0.2500  6 Ru 2.82-2.89, 2 Ta 3.00
Ta 0.2421 0.7579 0.2500  2 Ru 2.76, 4 Ta 2.83, 2 Zr 3.00
Ta 0.7579 0.2421 0.7500  2 Ru 2.76, 4 Ta 2.83, 2 Zr 3.00
Ru 0.4139 0.5861 0.7500  2 Ta 2.76, 6 Zr 2.82-2.89
Ru 0.5861 0.4139 0.2500  2 Ta 2.76, 6 Zr 2.82-2.89

#iii
ZrTaRu: optimized geometry, GGA-PBE.

Calculated values
**Crystal system**: orthorhombic
**DOS at the Fermi energy**: 2.808 states/eV/f.u.
**Space-group type**: Cmcm
**Magnetization**: 0.00 μB per formula unit

Unit cell a=5.4591 b=5.4591 c=5.5232 alpha=90.00 beta=90.00 gamma=135.19
With the nearest neighbours (Å) after each atom.
Element x y z (fractional)
Zr 0.2134 0.7866 0.7500  5 Ru 2.94-3.08, 2 Ta 3.21
Zr 0.7866 0.2134 0.2500  5 Ru 2.94-3.08, 2 Ta 3.21
Ta 0.5000 0.5000 0.0000  4 Ru 2.62, 2 Ta 2.76
Ta 0.5000 0.5000 0.5000  4 Ru 2.62, 2 Ta 2.76
Ru 0.0778 0.9222 0.2500  4 Ta 2.62
Ru 0.9222 0.0778 0.7500  4 Ta 2.62

#iv
ZrTaRu: optimized geometry, GGA-PBE.

Calculated values
**Crystal system**: monoclinic
**DOS at the Fermi energy**: 2.640 states/eV/f.u.
**Space-group type**: Cm
**Magnetization**: 0.00 μB per formula unit

Unit cell a=5.2892 b=5.2892 c=5.6497 alpha=121.81 beta=121.81 gamma=63.26
With the nearest neighbours (Å) after each atom.
Element x y z (fractional)
Zr 0.0000 0.0000 0.0000  4 Ru 2.93-3.26, 3 Zr 3.06-3.21, 5 Ta 3.13-3.26
Zr 0.6146 0.6146 0.8673  4 Ru 2.66-2.67, 2 Ta 2.82-2.83
Ta 0.2236 0.2236 0.7170  2 Ru 2.89, 4 Zr 3.07-3.23, 3 Ta 3.09-3.20
Ta 0.6066 0.6066 0.3589  4 Ru 2.62-2.67, 2 Zr 2.82-2.83
Ru 0.1130 0.6165 0.3708  3 Ta 2.62-2.89, 3 Zr 2.66-2.93, 2 Ru 2.75-2.79
Ru 0.6165 0.1130 0.3708  3 Ta 2.62-2.89, 3 Zr 2.66-2.93, 2 Ru 2.75-2.79

Pick #ii: it beats the second-best structure by 140 meV per atom.

#i
ZrTa3Ru: optimized geometry, GGA-PBE.

Calculated values
**Crystal system**: cubic
**DOS at the Fermi energy**: 10.370 states/eV/f.u.
**Space-group type**: Pm-3m
**Magnetization**: 0.00 μB per formula unit

Unit cell a=4.7964 b=4.7964 c=4.7964 alpha=90.00 beta=90.00 gamma=90.00
With the nearest neighbours (Å) after each atom.
Element x y z (fractional)
Zr 0.0000 0.0000 0.0000  6 Ta 2.40
Ta 0.0000 0.0000 0.5000  2 Zr 2.40
Ta 0.0000 0.5000 0.0000  2 Zr 2.40
Ta 0.5000 0.0000 0.0000  2 Zr 2.40
Ru 0.5000 0.5000 0.5000  12 Ta 3.39

#ii
ZrTa3Ru: optimized geometry, GGA-PBE.

Calculated values
**Crystal system**: cubic
**DOS at the Fermi energy**: 7.484 states/eV/f.u.
**Space-group type**: Pm-3m
**Magnetization**: 0.00 μB per formula unit

Unit cell a=4.8052 b=4.8052 c=4.8052 alpha=90.00 beta=90.00 gamma=90.00
With the nearest neighbours (Å) after each atom.
Element x y z (fractional)
Zr 0.0000 0.0000 0.0000  12 Ta 3.40
Ta 0.0000 0.5000 0.5000  2 Ru 2.40
Ta 0.5000 0.0000 0.5000  2 Ru 2.40
Ta 0.5000 0.5000 0.0000  2 Ru 2.40
Ru 0.5000 0.5000 0.5000  6 Ta 2.40

Pick #ii: it beats the second-best structure by 1336 meV per atom.

#i
Tb3Ru2: optimized geometry, GGA-PBE.

Calculated values
**Crystal system**: orthorhombic
**DOS at the Fermi energy**: 5.199 states/eV/f.u.
**Space-group type**: Cmcm
**Magnetization**: 0.00 μB per formula unit

Unit cell a=4.8429 b=4.8429 c=11.2557 alpha=90.00 beta=90.00 gamma=120.14
With the nearest neighbours (Å) after each atom.
Element x y z (fractional)
Tb 0.0010 0.9990 0.7500  5 Ru 2.79-2.81
Tb 0.3335 0.6665 0.5827  3 Ru 2.94-2.95
Tb 0.3335 0.6665 0.9173  3 Ru 2.94-2.95
Tb 0.6665 0.3335 0.0827  3 Ru 2.94-2.95
Tb 0.6665 0.3335 0.4173  3 Ru 2.94-2.95
Tb 0.9990 0.0010 0.2500  5 Ru 2.79-2.81
Ru 0.0000 0.0000 0.0000  8 Tb 2.81-2.95
Ru 0.0000 0.0000 0.5000  8 Tb 2.81-2.95
Ru 0.3316 0.6684 0.2500  3 Tb 2.79-2.80
Ru 0.6684 0.3316 0.7500  3 Tb 2.79-2.80

#ii
Tb3Ru2: optimized geometry, GGA-PBE.

Calculated values
**Crystal system**: monoclinic
**DOS at the Fermi energy**: 3.923 states/eV/f.u.
**Space-group type**: C2/m
**Magnetization**: 0.00 μB per formula unit

Unit cell a=7.5785 b=7.5785 c=10.2005 alpha=90.32 beta=90.32 gamma=37.19
With the nearest neighbours (Å) after each atom.
Element x y z (fractional)
Tb 0.0000 0.0000 0.0000  6 Ru 2.94
Tb 0.0020 0.0020 0.6652  5 Ru 2.91-3.00
Tb 0.3283 0.3283 0.3249  6 Ru 2.91-2.98
Tb 0.3322 0.3322 0.9898  5 Ru 2.86-3.01
Tb 0.3393 0.3393 0.6593  5 Ru 2.90-3.07
Tb 0.6607 0.6607 0.3407  5 Ru 2.90-3.07
Tb 0.6678 0.6678 0.0102  5 Ru 2.86-3.01
Tb 0.6717 0.6717 0.6751  6 Ru 2.91-2.98
Tb 0.9980 0.9980 0.3348  5 Ru 2.91-3.00
Ru 0.1661 0.1661 0.8338  8 Tb 2.86-3.07
Ru 0.1693 0.1693 0.5049  8 Tb 2.90-3.00
Ru 0.4963 0.4963 0.1647  8 Tb 2.92-2.97
Ru 0.5037 0.5037 0.8353  8 Tb 2.92-2.97
Ru 0.8307 0.8307 0.4951  8 Tb 2.90-3.00
Ru 0.8339 0.8339 0.1662  8 Tb 2.86-3.07

Pick #ii: it beats the second-best structure by 125 meV per atom.